Below is a relaxed RbGeSeBr2 crystal, with properties calculated at the GGA-PBE level.

Computed properties:
ρ ... 2.9 Mg/m³
Excess energy over the best structure of this formula in the dataset ... 565 kJ/mol of formula units
VASP energy ... -2.0486 eV/atom
Formation energy (no corrections) ... 0.4344 eV per atom
Space group ... P4/mmm, No. 123
Fermi-level density of states ... 5.4 states/eV/f.u.

Lattice parameters (Å, degrees): 6.138 6.138 6.126 90.00 90.00 90.00
Site moments in Bohr magnetons follow the coordinates.
Fractional positions:
Ge 0.500 0.500 0.500  -0.30
Br 0.000 0.500 0.000  0.10
Br 0.500 0.000 0.000  0.10
Se 0.000 0.000 0.500  0.85
Rb 0.000 0.000 0.000  0.03


Below is a relaxed RbGeSe2Br crystal, with properties calculated at the GGA-PBE level.

Computed properties:
ρ ... 4.4 Mg/m³
Excess energy over the best structure of this formula in the dataset ... 0 kJ/mol of formula units
VASP energy ... -3.3556 eV/atom
Formation energy (no corrections) ... -0.5102 eV per atom
Space group ... P4/mmm, No. 123
Fermi-level density of states ... 2.0 states/eV/f.u.

Lattice parameters (Å, degrees): 5.056 5.056 5.891 90.00 90.00 90.00
Fractional positions:
Se 0.500 0.000 0.000
Se 0.000 0.500 0.000
Ge 0.000 0.000 0.000
Br 0.000 0.000 0.500
Rb 0.500 0.500 0.500